[1]
The following is a GGA-PBE calculation of crystalline PmNd5Y at its relaxed geometry, from Alexandria via LeMat-Bulk.

* calculated formation energy: 16 kJ per mole of atoms
* N(E_F): 42.15 states/eV per cell
* energy relative to the lowest polymorph listed for this composition: 14 meV per atom

abc: 7.262 23.369 6.676
angles: 90.00 117.66 90.00
Space group C2/c (No. 15)
Asymmetric unit:
Pm: 0.000 0.098 0.250 x4
Nd: 0.000 0.375 0.250 x4
Nd: 0.236 0.278 0.741 x8
Nd: 0.242 0.473 0.985 x8
Y: 0.000 0.152 0.750 x4

[2]
The following is a GGA-PBE calculation of crystalline BiSe2Br at its relaxed geometry, from Alexandria via LeMat-Bulk.

* N(E_F): 3.02 states/eV per cell
* uncorrected formation energy: 0.087 eV/atom
* energy relative to the lowest polymorph listed for this composition: 278 meV per atom

abc: 7.738 7.738 8.356
angles: 90.00 90.00 90.00
Space group I-42d (No. 122)
Asymmetric unit:
Bi: 0.000 0.000 0.000 x4
Se: 0.223 0.250 0.125 x8
Br: 0.000 0.000 0.500 x4

[3]
The following is a GGA-PBE calculation of crystalline ZrSc2S4 at its relaxed geometry, from Alexandria via LeMat-Bulk.

* N(E_F): 15.50 states/eV per cell
* uncorrected formation energy: -1.709 eV/atom

abc: 3.576 12.262 12.456
angles: 90.00 90.00 90.00
Space group Cmcm (No. 63)
Asymmetric unit:
Zr: 0.000 0.139 0.250 x4
Sc: 0.000 0.371 0.074 x8
S: 0.000 0.000 0.000 x4
S: 0.000 0.275 0.620 x8
S: 0.000 0.480 0.250 x4

[4]
The following is a GGA-PBE calculation of crystalline CaAc2C2N6 at its relaxed geometry, from Alexandria via LeMat-Bulk.

* N(E_F): 8.45 states/eV per cell
* uncorrected formation energy: -0.619 eV/atom

abc: 9.836 5.391 6.753
angles: 90.00 121.90 90.00
Space group C2/m (No. 12)
Asymmetric unit:
Ca: 0.000 0.000 0.000 x2
Ac: 0.211 0.000 0.696 x4
C: 0.045 0.500 0.746 x4
N: 0.036 0.281 0.301 x8
N: 0.207 0.500 0.849 x4

[5]
The following is a GGA-PBE calculation of crystalline Sm2Tm2Bi2C at its relaxed geometry, from Alexandria via LeMat-Bulk.

* calculated formation energy: -67 kJ per mole of atoms
* N(E_F): 13.64 states/eV per cell

abc: 4.789 4.789 16.359
angles: 90.00 90.00 90.00
Space group I4/mmm (No. 139)
Asymmetric unit:
Sm: 0.000 0.000 0.158 x4
Tm: 0.000 0.500 0.000 x4
Bi: 0.000 0.000 0.360 x4
C: 0.000 0.000 0.000 x2

[6]
The following is a GGA-PBE calculation of crystalline NaCoOs at its relaxed geometry, from Alexandria via LeMat-Bulk.

* calculated formation energy: 82 kJ per mole of atoms
* N(E_F): 8.12 states/eV per cell
* energy relative to the lowest polymorph listed for this composition: 415 meV per atom

abc: 4.282 4.282 6.381
angles: 90.00 90.00 90.00
Space group P4/nmm (No. 129, origin choice 2)
Asymmetric unit:
Na: 0.250 0.250 0.141 x2
Co: 0.250 0.750 0.500 x2
Os: 0.250 0.250 0.641 x2

[7]
The following is a GGA-PBE calculation of crystalline KFePb2Cl8 at its relaxed geometry, from Alexandria via LeMat-Bulk.

* N(E_F): 6.25 states/eV per cell
* uncorrected formation energy: -1.033 eV/atom

abc: 6.263 6.522 8.579
angles: 90.08 90.28 91.89
Space group P-1 (No. 2)
Asymmetric unit:
K: 0.000 0.000 0.000 x1
Fe: 0.000 0.000 0.500 x1
Pb: 0.499 0.500 0.736 x2
Cl: 0.203 0.710 0.499 x2
Cl: 0.215 0.141 0.309 x2
Cl: 0.217 0.139 0.693 x2
Cl: 0.272 0.628 0.000 x2

[8]
The following is a GGA-PBE calculation of crystalline Cd2InPb at its relaxed geometry, from Alexandria via LeMat-Bulk.

* calculated formation energy: 10 kJ per mole of atoms
* N(E_F): 13.87 states/eV per cell
* energy relative to the lowest polymorph listed for this composition: 83 meV per atom

abc: 7.544 7.544 7.544
angles: 90.00 90.00 90.00
Space group F-43m (No. 216)
Asymmetric unit:
Cd: 0.000 0.000 0.000 x4
Cd: 0.250 0.250 0.250 x4
In: 0.250 0.250 0.750 x4
Pb: 0.000 0.000 0.500 x4

[9]
The following is a GGA-PBE calculation of crystalline CrTc2W at its relaxed geometry, from Alexandria via LeMat-Bulk.

* calculated formation energy: 12 kJ per mole of atoms
* N(E_F): 4.76 states/eV per cell

abc: 2.699 4.279 5.099
angles: 90.00 101.46 90.00
Space group Pm (No. 6)
Asymmetric unit:
Cr: 0.000 0.000 0.000 x1
Tc: 0.433 0.000 0.496 x1
Tc: 0.746 0.500 0.235 x1
W: 0.209 0.500 0.749 x1

[10]
The following is a GGA-PBE calculation of crystalline CsTl2Ge at its relaxed geometry, from Alexandria via LeMat-Bulk.

* calculated formation energy: -1 kJ per mole of atoms
* N(E_F): 9.93 states/eV per cell
* energy relative to the lowest polymorph listed for this composition: 3 meV per atom

abc: 4.8016 4.8016 22.9173
angles: 90.00 90.00 120.00
Space group R-3m (No. 166, hexagonal axes)
Asymmetric unit:
Cs: 0.0000 0.0000 0.0000 x3
Tl: 0.0000 0.0000 0.2170 x6
Ge: 0.0000 0.0000 0.5000 x3

[11]
The following is a GGA-PBE calculation of crystalline SiHAu at its relaxed geometry, from Alexandria via LeMat-Bulk.

* N(E_F): 0.60 states/eV per cell
* energy relative to the lowest polymorph listed for this composition: 278 meV per atom

abc: 3.177 3.850 4.013
angles: 67.02 68.91 89.90
Space group P1 (No. 1)
Asymmetric unit:
Si: 0.000 0.000 0.000 x1
H: 0.284 0.244 0.191 x1
Au: 0.603 0.615 0.727 x1

[12]
The following is a GGA-PBE calculation of crystalline Ac2CuAgRh at its relaxed geometry, from Alexandria via LeMat-Bulk.

* calculated formation energy: -35 kJ per mole of atoms
* N(E_F): 7.53 states/eV per cell

abc: 7.724 4.516 7.942
angles: 90.00 107.46 90.00
Space group P2_1/m (No. 11)
Asymmetric unit:
Ac: 0.150 0.250 0.358 x2
Ac: 0.279 0.250 0.938 x2
Cu: 0.437 0.750 0.313 x2
Ag: 0.369 0.750 0.653 x2
Rh: 0.120 0.750 0.092 x2

[13]
The following is a GGA-PBE calculation of crystalline HgSbPO2 at its relaxed geometry, from Alexandria via LeMat-Bulk.

* N(E_F): 1.66 states/eV per cell
* uncorrected formation energy: -0.389 eV/atom
* energy relative to the lowest polymorph listed for this composition: 0 meV per atom

abc: 3.940 3.940 5.459
angles: 90.00 90.00 90.00
Space group P4/mmm (No. 123)
Asymmetric unit:
Hg: 0.000 0.000 0.000 x1
Sb: 0.500 0.500 0.500 x1
P: 0.500 0.500 0.000 x1
O: 0.000 0.500 0.500 x2

[14]
The following is a GGA-PBE calculation of crystalline K2ScP at its relaxed geometry, from Alexandria via LeMat-Bulk.

* calculated formation energy: 12 kJ per mole of atoms
* N(E_F): 5.38 states/eV per cell

abc: 4.273 4.273 11.733
angles: 90.00 90.00 90.00
Space group I4/mmm (No. 139)
Asymmetric unit:
K: 0.000 0.500 0.250 x4
Sc: 0.000 0.000 0.000 x2
P: 0.000 0.000 0.500 x2

[15]
The following is a GGA-PBE calculation of crystalline LiB4C4 at its relaxed geometry, from Alexandria via LeMat-Bulk.

* calculated formation energy: 23 kJ per mole of atoms
* N(E_F): 4.06 states/eV per cell
* energy relative to the lowest polymorph listed for this composition: 154 meV per atom

abc: 2.716 16.311 4.600
angles: 90.00 90.00 90.00
Space group Pmm2 (No. 25)
Asymmetric unit:
Li: 0.000 0.111 0.000 x2
B: 0.000 0.000 0.667 x1
B: 0.000 0.216 0.359 x2
B: 0.000 0.500 0.692 x1
B: 0.500 0.000 0.175 x1
B: 0.500 0.232 0.860 x2
B: 0.500 0.500 0.192 x1
C: 0.000 0.000 0.328 x1
C: 0.000 0.231 0.697 x2
C: 0.000 0.500 0.345 x1
C: 0.500 0.000 0.829 x1
C: 0.500 0.214 0.196 x2
C: 0.500 0.500 0.845 x1

[16]
The following is a GGA-PBE calculation of crystalline CeErSbSe at its relaxed geometry, from Alexandria via LeMat-Bulk.

* N(E_F): 21.84 states/eV per cell
* uncorrected formation energy: -1.318 eV/atom

abc: 4.1623 4.1623 22.6835
angles: 90.00 90.00 120.00
Space group R3m (No. 160, hexagonal axes)
Asymmetric unit:
Ce: 0.0000 0.0000 0.0000 x3
Er: 0.0000 0.0000 0.8342 x3
Sb: 0.0000 0.0000 0.4220 x3
Se: 0.0000 0.0000 0.2442 x3

[17]
The following is a GGA-PBE calculation of crystalline HoZnGeRh at its relaxed geometry, from Alexandria via LeMat-Bulk.

* calculated formation energy: -53 kJ per mole of atoms
* N(E_F): 5.07 states/eV per cell

abc: 6.508 6.508 6.508
angles: 90.00 90.00 90.00
Space group F-43m (No. 216)
Asymmetric unit:
Ho: 0.000 0.000 0.000 x4
Zn: 0.250 0.250 0.750 x4
Ge: 0.250 0.250 0.250 x4
Rh: 0.000 0.000 0.500 x4

[18]
The following is a GGA-PBE calculation of crystalline Ir2WSe at its relaxed geometry, from Alexandria via LeMat-Bulk.

* N(E_F): 2.87 states/eV per cell
* uncorrected formation energy: 0.399 eV/atom
* energy relative to the lowest polymorph listed for this composition: 315 meV per atom

abc: 4.594 2.898 4.661
angles: 90.00 90.07 90.00
Space group P2/m (No. 10)
Asymmetric unit:
Ir: 0.000 0.000 0.000 x1
Ir: 0.000 0.500 0.500 x1
W: 0.500 0.000 0.500 x1
Se: 0.500 0.500 0.000 x1

[19]
The following is a GGA-PBE calculation of crystalline Ce2ZnGePd6 at its relaxed geometry, from Alexandria via LeMat-Bulk.

* calculated formation energy: -59 kJ per mole of atoms
* N(E_F): 13.48 states/eV per cell

abc: 5.488 6.449 6.526
angles: 84.70 65.19 64.91
Space group P-1 (No. 2)
Asymmetric unit:
Ce: 0.250 0.248 0.253 x2
Zn: 0.500 0.500 0.500 x1
Ge: 0.000 0.000 0.000 x1
Pd: 0.195 0.806 0.303 x2
Pd: 0.252 0.571 0.926 x2
Pd: 0.304 0.194 0.698 x2

[20]
The following is a GGA-PBE calculation of crystalline LaAg5S4 at its relaxed geometry, from Alexandria via LeMat-Bulk.

* N(E_F): 0.48 states/eV per cell
* uncorrected formation energy: -0.545 eV/atom

abc: 4.300 7.434 8.178
angles: 115.11 102.52 96.05
Space group P-1 (No. 2)
Asymmetric unit:
La: 0.000 0.000 0.000 x1
Ag: 0.000 0.500 0.000 x1
Ag: 0.309 0.592 0.644 x2
Ag: 0.333 0.045 0.642 x2
S: 0.209 0.208 0.415 x2
S: 0.446 0.737 0.001 x2

[21]
The following is a GGA-PBE calculation of crystalline Sr2AlMoCl at its relaxed geometry, from Alexandria via LeMat-Bulk.

* N(E_F): 3.12 states/eV per cell
* uncorrected formation energy: 0.750 eV/atom

abc: 6.344 6.344 5.031
angles: 90.00 90.00 90.00
Space group P4/mmm (No. 123)
Asymmetric unit:
Sr: 0.000 0.500 0.000 x2
Al: 0.000 0.000 0.000 x1
Mo: 0.500 0.500 0.500 x1
Cl: 0.000 0.000 0.500 x1

[22]
The following is a GGA-PBE calculation of crystalline PmZn2CrN4 at its relaxed geometry, from Alexandria via LeMat-Bulk.

* N(E_F): 4.49 states/eV per cell
* uncorrected formation energy: -0.459 eV/atom

abc: 5.257 5.257 7.299
angles: 90.00 90.00 90.00
Space group I-42m (No. 121)
Asymmetric unit:
Pm: 0.000 0.000 0.000 x2
Zn: 0.000 0.500 0.250 x4
Cr: 0.000 0.000 0.500 x2
N: 0.201 0.201 0.362 x8

[23]
The following is a GGA-PBE calculation of crystalline SrUGa2Cl8 at its relaxed geometry, from Alexandria via LeMat-Bulk.

* N(E_F): 3.68 states/eV per cell
* uncorrected formation energy: -1.561 eV/atom

abc: 6.836 6.911 8.709
angles: 90.00 90.27 92.84
Space group P-1 (No. 2)
Asymmetric unit:
Sr: 0.000 0.000 0.000 x1
U: 0.000 0.000 0.500 x1
Ga: 0.499 0.500 0.768 x2
Cl: 0.210 0.854 0.730 x2
Cl: 0.211 0.856 0.272 x2
Cl: 0.224 0.309 0.498 x2
Cl: 0.276 0.332 0.000 x2

[24]
The following is a GGA-PBE calculation of crystalline AgAs2 at its relaxed geometry, from Alexandria via LeMat-Bulk.

* calculated formation energy: 25 kJ per mole of atoms
* N(E_F): 3.47 states/eV per cell

abc: 3.476 3.476 20.710
angles: 90.00 90.00 90.00
Space group I4_1/amd (No. 141, origin choice 2)
Asymmetric unit:
Ag: 0.000 0.250 0.375 x4
As: 0.000 0.250 0.793 x8

[25]
The following is a GGA-PBE calculation of crystalline RbMg3Tl4 at its relaxed geometry, from Alexandria via LeMat-Bulk.

* calculated formation energy: -6 kJ per mole of atoms
* N(E_F): 8.49 states/eV per cell

abc: 5.0832 5.0832 33.5618
angles: 90.00 90.00 120.00
Space group R-3m (No. 166, hexagonal axes)
Asymmetric unit:
Rb: 0.0000 0.0000 0.0000 x3
Mg: 0.0000 0.0000 0.2263 x6
Mg: 0.0000 0.0000 0.5000 x3
Tl: 0.0000 0.0000 0.1276 x6
Tl: 0.0000 0.0000 0.4045 x6